Entry 1:
18
Lattice="2.475 -4.287 0.000 2.475 4.287 0.000 0.000 0.000 11.055" Properties=species:S:1:pos:R:3 comment="Ce3Ni13B2 (PBE-GGA, optimized geometry)" dos_ef_per_ev_cell=17.11 formation_enthalpy_0k_ev_per_atom=-0.419 space_group="P6/mmm, No. 191" pbc="T T T"
Ce 0.000 0.000 0.000
Ce 0.000 0.000 7.376
Ce 0.000 0.000 3.679
Ni 2.475 0.000 5.528
Ni 1.237 -2.143 5.528
Ni 1.237 2.143 5.528
Ni 2.475 -1.429 7.539
Ni 2.475 1.429 7.539
Ni 2.475 1.429 3.516
Ni 2.475 -1.429 3.516
Ni 2.475 0.000 9.585
Ni 1.237 -2.143 9.585
Ni 1.237 2.143 9.585
Ni 2.475 0.000 1.470
Ni 1.237 -2.143 1.470
Ni 1.237 2.143 1.470
B 2.475 -1.429 0.000
B 2.475 1.429 0.000

=====

Entry 2:
8
Lattice="5.370 0.000 0.000 0.000 5.370 0.000 2.685 2.685 5.390" Properties=species:S:1:pos:R:3 comment="Hf2ClO (PBE-GGA, optimized geometry)" polymorph_energy_ev_per_fu=0.00 dos_ef_per_ev_cell=5.78 space_group="I-42d, No. 122" e_form_raw_ev_per_atom=-1.104 pbc="T T T"
Hf 3.563 1.342 1.347
Hf 1.807 4.027 1.347
Hf 4.027 4.492 4.042
Hf 6.712 6.247 4.042
O 2.685 2.685 0.000
O 2.685 5.370 2.695
Cl 0.000 0.000 0.000
Cl 5.370 2.685 2.695

=====

Number 1 is which compound?
Ce3Ni13B2

=====

Number 2 is which compound?
Hf2ClO